Record 1
A PBEsol-optimized structure of TaMo3Pd. Source: Alexandria via LeMat-Bulk, functional meta-GGA SCAN.

Calculated values
Space-group type: Pm-3m, No. 221
VASP energy: -38.8996 eV/atom
Energy of formation from the pure elements: 1.9030 eV/atom
Energy above the most stable polymorph in this dataset: 0.0 kJ/mol of formula units
Magnetization: 0.00 μB/atom

Unit cell a=4.657 b=4.657 c=4.657 alpha=90.00 beta=90.00 gamma=90.00
Atoms (fractional coordinates):
Mo 0.500 0.000 0.000
Pd 0.500 0.500 0.500
Mo 0.000 0.000 0.500
Ta 0.000 0.000 0.000
Mo 0.000 0.500 0.000

=====

Record 2
A PBEsol-optimized structure of TaTl2MoPd. Source: Alexandria via LeMat-Bulk, functional meta-GGA SCAN.

Calculated values
Space-group type: P4/mmm, No. 123
VASP energy: -54.3388 eV/atom
Energy of formation from the pure elements: 1.4531 eV/atom
Magnetization: 0.74 μB/atom

Unit cell a=4.738 b=5.321 c=5.321 alpha=90.00 beta=90.00 gamma=90.00
Atoms (fractional coordinates):
Tl 0.000 0.500 0.000
Pd 0.500 0.000 0.000
Mo 0.500 0.500 0.500
Ta 0.000 0.000 0.000
Tl 0.000 0.000 0.500

=====

Record 3
A PBEsol-optimized structure of TcMoPd2. Source: Alexandria via LeMat-Bulk, functional meta-GGA SCAN.

Calculated values
Space-group type: Fm-3m, No. 225
VASP energy: -33.3357 eV/atom
Energy of formation from the pure elements: 0.5377 eV/atom
Magnetization: 0.16 μB/atom

Unit cell a=4.371 b=4.371 c=4.371 alpha=60.00 beta=60.00 gamma=60.00
Atoms (fractional coordinates):
Tc 0.500 0.500 0.500
Mo 0.000 0.000 0.000
Pd 0.250 0.250 0.250
Pd 0.750 0.750 0.750

=====

Which value of magnetization does entry 1 give? 0.00 μB/atom